This record from Alexandria via LeMat-Bulk describes a relaxed structure of SnB2MoF. The functional is PBE with a Hubbard U.

Unit cell a=4.272 b=4.272 c=4.168 alpha=90.00 beta=90.00 gamma=90.00
Atoms (fractional coordinates):
Sn 0.000 0.000 0.000
B 0.000 0.500 0.500
B 0.500 0.000 0.500
Mo 0.500 0.500 0.500
F 0.500 0.500 0.000

Computed properties:
DFT total energy (eV per atom): -4.676
Magnetization (μB/f.u.): 0.00
N(E_F) (states/eV per cell): 2.3